a:
Computed, not measured: CaLaIr at its PBEsol-relaxed geometry at the SCAN level of DFT.

Properties
* N(E_F): 1.5 states/eV/f.u.
* symmetry: I4mm (107)

POSCAR file:
```
CaLaIr
1.0
-2.292 2.549 0.693
-2.606 -2.033 -1.142
1.621 -2.694 6.452
Ca Ir La
1 1 1
Direct
0.040 0.040 0.080
0.673 0.673 0.346
0.287 0.287 0.574
```

b:
Computed, not measured: CaLaIr at its PBEsol-relaxed geometry at the SCAN level of DFT.

Properties
* N(E_F): 1.0 states/eV/f.u.
* symmetry: P3m1 (156)

POSCAR file:
```
CaLaIr
1.0
-1.718 2.620 -2.685
-1.712 -3.696 0.660
-3.567 2.494 4.715
Ca Ir La
1 1 1
Direct
0.000 0.000 0.904
0.333 0.667 0.656
0.667 0.333 0.440
```

Most stable one: b, least stable one: a.

a:
Computed, not measured: LiCaIr at its PBEsol-relaxed geometry at the SCAN level of DFT.

Properties
* N(E_F): 1.1 states/eV/f.u.
* symmetry: P3m1 (156)

POSCAR file:
```
LiCaIr
1.0
3.042 0.000 0.000
-1.521 2.634 0.000
0.000 0.000 7.148
Ca Ir Li
1 1 1
Direct
0.000 0.000 0.956
0.333 0.667 0.657
0.667 0.333 0.387
```

b:
Computed, not measured: LiCaIr at its PBEsol-relaxed geometry at the SCAN level of DFT.

Properties
* N(E_F): 3.4 states/eV/f.u.
* symmetry: F-43m (216)

POSCAR file:
```
LiCaIr
1.0
-2.928 3.317 -0.803
-1.061 1.088 -4.233
-4.090 -0.951 -1.608
Ca Ir Li
1 1 1
Direct
0.750 0.750 0.750
0.000 0.000 0.000
0.500 0.500 0.500
```

Most stable one: a, least stable one: b.

a:
Computed, not measured: Li2CaIr at its PBEsol-relaxed geometry at the SCAN level of DFT.

Properties
* N(E_F): 1.4 states/eV/f.u.
* symmetry: Pm (6)

POSCAR file:
```
Li2CaIr
1.0
3.169 0.000 -0.061
0.000 4.167 0.000
-1.461 0.000 5.843
Ca Ir Li
1 1 2
Direct
0.476 0.000 0.573
0.078 0.500 0.780
0.190 0.000 0.008
0.756 0.500 0.140
```

b:
Computed, not measured: Li2CaIr at its PBEsol-relaxed geometry at the SCAN level of DFT.

Properties
* N(E_F): 2.2 states/eV/f.u.
* symmetry: R3m (160)

POSCAR file:
```
Li2CaIr
1.0
4.309 0.000 0.000
2.154 3.732 0.000
2.154 1.244 4.578
Ca Ir Li
1 1 2
Direct
0.495 0.495 0.515
0.708 0.708 0.876
0.009 0.009 0.974
0.294 0.294 0.119
```

Most stable one: b, least stable one: a.

a:
Computed, not measured: CaNiIr3 at its PBEsol-relaxed geometry at the SCAN level of DFT.

Properties
* N(E_F): 3.6 states/eV/f.u.
* symmetry: Pm-3m (221)

POSCAR file:
```
CaNiIr3
1.0
-4.213 -1.010 -1.224
-0.518 -2.408 3.769
-1.501 3.667 2.137
Ni Ca Ir
1 1 3
Direct
0.000 0.000 0.000
0.500 0.500 0.500
0.000 0.500 0.000
0.000 0.000 0.500
0.500 0.000 0.000
```

b:
Computed, not measured: CaNiIr3 at its PBEsol-relaxed geometry at the SCAN level of DFT.

Properties
* N(E_F): 6.6 states/eV/f.u.
* symmetry: Pm-3m (221)

POSCAR file:
```
CaNiIr3
1.0
-4.164 1.983 0.161
-1.667 -3.272 -2.795
-1.087 -2.580 3.668
Ni Ca Ir
1 1 3
Direct
0.500 0.500 0.500
0.000 0.000 0.000
0.000 0.500 0.000
0.000 0.000 0.500
0.500 0.000 0.000
```

Most stable one: a, least stable one: b.

a:
Computed, not measured: Ca2ReIr at its PBEsol-relaxed geometry at the SCAN level of DFT.

Properties
* N(E_F): 3.1 states/eV/f.u.
* symmetry: P2/m (10)

POSCAR file:
```
Ca2ReIr
1.0
2.854 0.000 0.091
0.000 4.742 0.000
-1.168 0.000 5.298
Re Ca Ir
1 2 1
Direct
0.000 0.500 0.500
0.726 0.000 0.755
0.274 0.000 0.245
0.500 0.500 0.000
```

b:
Computed, not measured: Ca2ReIr at its PBEsol-relaxed geometry at the SCAN level of DFT.

Properties
* N(E_F): 4.3 states/eV/f.u.
* symmetry: I4/mmm (139)

POSCAR file:
```
Ca2ReIr
1.0
-3.445 1.933 -0.480
-1.654 -3.311 -1.462
1.247 -0.562 5.280
Re Ca Ir
1 2 1
Direct
0.000 0.000 0.000
0.750 0.250 0.500
0.250 0.750 0.500
0.500 0.500 0.000
```

Most stable one: a, least stable one: b.

a:
Computed, not measured: CaIr2Rh at its PBEsol-relaxed geometry at the SCAN level of DFT.

Properties
* N(E_F): 3.9 states/eV/f.u.
* symmetry: Pmmm (47)

POSCAR file:
```
CaIr2Rh
1.0
-0.766 2.606 -0.698
-4.343 -1.477 -0.744
-1.090 0.903 4.567
Ca Ir Rh
1 2 1
Direct
0.000 0.500 0.500
0.000 0.000 0.000
0.500 0.500 0.000
0.500 0.000 0.500
```

b:
Computed, not measured: CaIr2Rh at its PBEsol-relaxed geometry at the SCAN level of DFT.

Properties
* N(E_F): 3.4 states/eV/f.u.
* symmetry: Pmm2 (25)

POSCAR file:
```
CaIr2Rh
1.0
-2.446 -1.154 0.527
1.021 -3.122 -2.098
2.290 -2.588 4.966
Ca Ir Rh
1 2 1
Direct
0.500 0.500 0.745
0.000 0.000 0.049
0.500 0.500 0.236
0.000 0.000 0.471
```

Most stable one: b, least stable one: a.

a:
Computed, not measured: Ca2IrSe at its PBEsol-relaxed geometry at the SCAN level of DFT.

Properties
* N(E_F): 2.3 states/eV/f.u.
* symmetry: P4/mmm (123)

POSCAR file:
```
Ca2IrSe
1.0
-2.440 -2.485 -0.567
3.419 -3.430 0.321
-0.777 -0.328 4.779
Ca Ir Se
2 1 1
Direct
0.000 0.000 0.500
0.000 0.500 0.000
0.500 0.500 0.500
0.500 0.000 0.000
```

b:
Computed, not measured: Ca2IrSe at its PBEsol-relaxed geometry at the SCAN level of DFT.

Properties
* N(E_F): 1.1 states/eV/f.u.
* symmetry: Cmmm (65)

POSCAR file:
```
Ca2IrSe
1.0
3.493 0.000 0.000
0.000 4.874 -0.033
0.000 -0.704 4.823
Ca Ir Se
2 1 1
Direct
0.000 0.000 0.500
0.000 0.500 0.000
0.500 0.000 0.000
0.500 0.500 0.500
```

Most stable one: b, least stable one: a.

a:
Computed, not measured: CaTa2Ir at its PBEsol-relaxed geometry at the SCAN level of DFT.

Properties
* N(E_F): 3.0 states/eV/f.u.
* symmetry: P2/m (10)

POSCAR file:
```
CaTa2Ir
1.0
2.881 0.000 -0.003
0.000 4.659 0.000
-1.149 0.000 5.336
Ca Ir Ta
1 1 2
Direct
0.500 0.500 0.000
0.000 0.500 0.500
0.771 0.000 0.732
0.229 0.000 0.268
```

b:
Computed, not measured: CaTa2Ir at its PBEsol-relaxed geometry at the SCAN level of DFT.

Properties
* N(E_F): 3.3 states/eV/f.u.
* symmetry: Cmmm (65)

POSCAR file:
```
CaTa2Ir
1.0
2.816 0.000 0.000
0.000 5.397 0.000
0.000 -2.698 4.713
Ca Ir Ta
1 1 2
Direct
0.500 0.000 0.000
0.500 0.500 0.000
0.000 0.500 0.500
0.000 0.000 0.500
```

Most stable one: a, least stable one: b.